VASP calculation (PBE) on a relaxed Na4Np3PdSe8 crystal.

The structure in POSCAR format:
```
Na4Np3PdSe8
1.0
4.078 2.354 7.017
-4.078 2.354 7.017
0.000 -4.708 7.017
Na Np Pd Se
4 3 1 8
Direct
0.000 0.000 0.000 Na
0.000 0.500 0.500 Na
0.500 0.000 0.500 Na
0.500 0.500 0.000 Na
0.000 0.000 0.500 Np
0.000 0.500 0.000 Np
0.500 0.000 0.000 Np
0.500 0.500 0.500 Pd
0.245 0.245 0.245 Se
0.245 0.740 0.740 Se
0.260 0.260 0.755 Se
0.260 0.755 0.260 Se
0.740 0.245 0.740 Se
0.740 0.740 0.245 Se
0.755 0.260 0.260 Se
0.755 0.755 0.755 Se
```

---

VASP calculation (PBE) on a relaxed NaNp2PdSe4 crystal.

The structure in POSCAR format:
```
NaNp2PdSe4
1.0
2.043 -6.747 0.000
2.043 6.747 0.000
0.000 0.000 14.475
Na Np Pd Se
2 4 2 8
Direct
0.124 0.876 0.750 Na
0.876 0.124 0.250 Na
0.367 0.633 0.571 Np
0.367 0.633 0.929 Np
0.633 0.367 0.071 Np
0.633 0.367 0.429 Np
0.162 0.838 0.250 Pd
0.838 0.162 0.750 Pd
0.000 0.000 0.000 Se
0.000 0.000 0.500 Se
0.275 0.725 0.108 Se
0.275 0.725 0.392 Se
0.453 0.547 0.750 Se
0.547 0.453 0.250 Se
0.725 0.275 0.608 Se
0.725 0.275 0.892 Se
```

---

VASP calculation (PBE) on a relaxed Na3NpPd2Se6 crystal.

The structure in POSCAR format:
```
Na3NpPd2Se6
1.0
3.325 -5.756 0.000
3.325 5.756 0.000
-2.220 0.000 7.158
Na Np Pd Se
3 1 2 6
Direct
0.000 0.000 0.000 Na
0.337 0.663 0.000 Na
0.663 0.337 0.000 Na
0.500 0.500 0.500 Np
0.167 0.833 0.500 Pd
0.833 0.167 0.500 Pd
0.080 0.428 0.285 Se
0.223 0.223 0.715 Se
0.428 0.080 0.285 Se
0.572 0.920 0.715 Se
0.777 0.777 0.285 Se
0.920 0.572 0.715 Se
```

---

VASP calculation (PBE) on a relaxed NaNpPdSe2 crystal.

The structure in POSCAR format:
```
NaNpPdSe2
1.0
7.426 0.000 0.000
0.000 4.731 0.000
-1.249 0.000 7.455
Na Np Pd Se
2 2 2 4
Direct
0.000 0.167 0.250 Na
0.000 0.833 0.750 Na
0.500 0.492 0.750 Np
0.500 0.508 0.250 Np
0.500 0.000 0.000 Pd
0.500 0.000 0.500 Pd
0.224 0.303 0.960 Se
0.224 0.697 0.460 Se
0.776 0.303 0.540 Se
0.776 0.697 0.040 Se
```

---

VASP calculation (PBE) on a relaxed Na3Np2PdSe6 crystal.

The structure in POSCAR format:
```
Na3Np2PdSe6
1.0
3.562 -5.961 0.000
3.562 5.961 0.000
-2.512 0.000 7.042
Na Np Pd Se
3 2 1 6
Direct
0.000 0.000 0.000 Na
0.334 0.666 0.000 Na
0.666 0.334 0.000 Na
0.166 0.834 0.500 Np
0.834 0.166 0.500 Np
0.500 0.500 0.500 Pd
0.107 0.425 0.282 Se
0.230 0.230 0.742 Se
0.425 0.107 0.282 Se
0.575 0.893 0.718 Se
0.770 0.770 0.258 Se
0.893 0.575 0.718 Se
```

---

VASP calculation (PBE) on a relaxed NaNpTe3Pd crystal.

The structure in POSCAR format:
```
NaNpTe3Pd
1.0
8.512 0.000 0.000
0.000 4.328 0.000
-2.642 0.000 9.855
Na Np Te Pd
2 2 6 2
Direct
0.204 0.250 0.275 Na
0.796 0.750 0.725 Na
0.315 0.750 0.836 Np
0.685 0.250 0.164 Np
0.078 0.250 0.856 Te
0.246 0.750 0.533 Te
0.423 0.750 0.151 Te
0.577 0.250 0.849 Te
0.754 0.250 0.467 Te
0.922 0.750 0.144 Te
0.087 0.250 0.587 Pd
0.913 0.750 0.413 Pd
```

---

VASP calculation (PBE) on a relaxed Na4Np3Te8Pd crystal.

The structure in POSCAR format:
```
Na4Np3Te8Pd
1.0
7.563 -4.364 0.000
7.563 4.364 0.000
-5.040 0.000 7.548
Na Np Te Pd
4 3 8 1
Direct
0.000 0.000 0.000 Na
0.000 0.500 0.000 Na
0.500 0.000 0.000 Na
0.500 0.500 0.000 Na
0.000 0.000 0.500 Np
0.000 0.500 0.500 Np
0.500 0.000 0.500 Np
0.246 0.246 0.738 Te
0.258 0.732 0.723 Te
0.266 0.266 0.276 Te
0.268 0.742 0.277 Te
0.732 0.258 0.723 Te
0.734 0.734 0.724 Te
0.742 0.268 0.277 Te
0.754 0.754 0.262 Te
0.500 0.500 0.500 Pd
```

---

VASP calculation (PBE) on a relaxed Na3PmNp3S8 crystal.

The structure in POSCAR format:
```
Na3PmNp3S8
1.0
4.034 2.329 6.657
-4.034 2.329 6.657
0.000 -4.658 6.657
Na Pm Np S
3 1 3 8
Direct
0.000 0.500 0.500 Na
0.500 0.000 0.500 Na
0.500 0.500 0.000 Na
0.500 0.500 0.500 Pm
0.000 0.000 0.500 Np
0.000 0.500 0.000 Np
0.500 0.000 0.000 Np
0.233 0.745 0.745 S
0.241 0.241 0.241 S
0.255 0.255 0.767 S
0.255 0.767 0.255 S
0.745 0.233 0.745 S
0.745 0.745 0.233 S
0.759 0.759 0.759 S
0.767 0.255 0.255 S
```

---

VASP calculation (PBE) on a relaxed Na4PmNp3S8 crystal.

The structure in POSCAR format:
```
Na4PmNp3S8
1.0
4.043 2.334 6.659
-4.043 2.334 6.659
0.000 -4.668 6.659
Na Pm Np S
4 1 3 8
Direct
0.000 0.000 0.000 Na
0.000 0.500 0.500 Na
0.500 0.000 0.500 Na
0.500 0.500 0.000 Na
0.500 0.500 0.500 Pm
0.000 0.000 0.500 Np
0.000 0.500 0.000 Np
0.500 0.000 0.000 Np
0.238 0.746 0.746 S
0.241 0.241 0.241 S
0.254 0.254 0.762 S
0.254 0.762 0.254 S
0.746 0.238 0.746 S
0.746 0.746 0.238 S
0.759 0.759 0.759 S
0.762 0.254 0.254 S
```

---

VASP calculation (PBE) on a relaxed Na3PmNp2S6 crystal.

The structure in POSCAR format:
```
Na3PmNp2S6
1.0
3.502 -6.065 0.000
3.502 6.065 0.000
-2.337 0.000 6.671
Na Pm Np S
3 1 2 6
Direct
0.000 0.000 0.000 Na
0.334 0.666 0.000 Na
0.666 0.334 0.000 Na
0.500 0.500 0.500 Pm
0.167 0.833 0.500 Np
0.833 0.167 0.500 Np
0.083 0.424 0.271 S
0.236 0.236 0.730 S
0.424 0.083 0.271 S
0.576 0.917 0.729 S
0.764 0.764 0.270 S
0.917 0.576 0.729 S
```

---

VASP calculation (PBE) on a relaxed NaPmNp2Se4 crystal.

The structure in POSCAR format:
```
NaPmNp2Se4
1.0
7.222 0.000 0.000
0.000 4.140 0.000
-2.418 0.000 6.854
Na Pm Np Se
1 1 2 4
Direct
0.000 0.000 0.000 Na
0.000 0.500 0.500 Pm
0.500 0.000 0.500 Np
0.500 0.500 0.000 Np
0.255 0.000 0.755 Se
0.256 0.500 0.254 Se
0.744 0.500 0.746 Se
0.745 0.000 0.245 Se
```

---

VASP calculation (PBE) on a relaxed Na2PmNp3Se6 crystal.

The structure in POSCAR format:
```
Na2PmNp3Se6
1.0
3.609 -6.247 0.000
3.609 6.247 0.000
-2.399 0.000 6.874
Na Pm Np Se
2 1 3 6
Direct
0.166 0.834 0.000 Na
0.834 0.166 0.000 Na
0.500 0.500 0.000 Pm
0.000 0.000 0.500 Np
0.332 0.668 0.500 Np
0.668 0.332 0.500 Np
0.084 0.414 0.743 Se
0.256 0.256 0.259 Se
0.414 0.084 0.743 Se
0.586 0.916 0.257 Se
0.744 0.744 0.741 Se
0.916 0.586 0.257 Se
```

---

VASP calculation (PBE) on a relaxed Na4Pm3NpSe8 crystal.

The structure in POSCAR format:
```
Na4Pm3NpSe8
1.0
4.248 2.452 6.996
-4.248 2.452 6.996
0.000 -4.905 6.996
Na Pm Np Se
4 3 1 8
Direct
0.000 0.000 0.000 Na
0.000 0.500 0.500 Na
0.500 0.000 0.500 Na
0.500 0.500 0.000 Na
0.000 0.000 0.500 Pm
0.000 0.500 0.000 Pm
0.500 0.000 0.000 Pm
0.500 0.500 0.500 Np
0.245 0.245 0.245 Se
0.247 0.743 0.743 Se
0.257 0.257 0.753 Se
0.257 0.753 0.257 Se
0.743 0.247 0.743 Se
0.743 0.743 0.247 Se
0.753 0.257 0.257 Se
0.755 0.755 0.755 Se
```

---

VASP calculation (PBE) on a relaxed Na3PmNp3Se8 crystal.

The structure in POSCAR format:
```
Na3PmNp3Se8
1.0
4.191 2.420 6.969
-4.191 2.420 6.969
0.000 -4.839 6.969
Na Pm Np Se
3 1 3 8
Direct
0.000 0.500 0.500 Na
0.500 0.000 0.500 Na
0.500 0.500 0.000 Na
0.500 0.500 0.500 Pm
0.000 0.000 0.500 Np
0.000 0.500 0.000 Np
0.500 0.000 0.000 Np
0.235 0.747 0.747 Se
0.243 0.243 0.243 Se
0.253 0.253 0.765 Se
0.253 0.765 0.253 Se
0.747 0.235 0.747 Se
0.747 0.747 0.235 Se
0.757 0.757 0.757 Se
0.765 0.253 0.253 Se
```

---

VASP calculation (PBE) on a relaxed Na4PmNp3Se8 crystal.

The structure in POSCAR format:
```
Na4PmNp3Se8
1.0
4.214 2.433 6.976
-4.214 2.433 6.976
0.000 -4.866 6.976
Na Pm Np Se
4 1 3 8
Direct
0.000 0.000 0.000 Na
0.000 0.500 0.500 Na
0.500 0.000 0.500 Na
0.500 0.500 0.000 Na
0.500 0.500 0.500 Pm
0.000 0.000 0.500 Np
0.000 0.500 0.000 Np
0.500 0.000 0.000 Np
0.241 0.746 0.746 Se
0.243 0.243 0.243 Se
0.254 0.254 0.759 Se
0.254 0.759 0.254 Se
0.746 0.241 0.746 Se
0.746 0.746 0.241 Se
0.757 0.757 0.757 Se
0.759 0.254 0.254 Se
```

---

VASP calculation (PBE) on a relaxed Na2PmNpSe4 crystal.

The structure in POSCAR format:
```
Na2PmNpSe4
1.0
7.337 0.000 0.000
0.000 4.232 0.000
-2.458 0.000 6.983
Na Pm Np Se
2 1 1 4
Direct
0.000 0.000 0.000 Na
0.500 0.500 0.000 Na
0.000 0.500 0.500 Pm
0.500 0.000 0.500 Np
0.247 0.000 0.735 Se
0.259 0.500 0.268 Se
0.741 0.500 0.732 Se
0.753 0.000 0.265 Se
```

---

VASP calculation (PBE) on a relaxed Na3PmNp2Se6 crystal.

The structure in POSCAR format:
```
Na3PmNp2Se6
1.0
3.649 -6.320 0.000
3.649 6.320 0.000
-2.434 0.000 6.991
Na Pm Np Se
3 1 2 6
Direct
0.000 0.000 0.000 Na
0.335 0.665 0.000 Na
0.665 0.335 0.000 Na
0.500 0.500 0.500 Pm
0.167 0.833 0.500 Np
0.833 0.167 0.500 Np
0.084 0.422 0.267 Se
0.240 0.240 0.733 Se
0.422 0.084 0.267 Se
0.578 0.916 0.733 Se
0.760 0.760 0.267 Se
0.916 0.578 0.733 Se
```

---

VASP calculation (PBE) on a relaxed NaPm2NpSe4 crystal.

The structure in POSCAR format:
```
NaPm2NpSe4
1.0
7.246 0.000 0.000
0.000 4.172 0.000
-2.415 0.000 6.849
Na Pm Np Se
1 2 1 4
Direct
0.000 0.000 0.000 Na
0.500 0.000 0.500 Pm
0.500 0.500 0.000 Pm
0.000 0.500 0.500 Np
0.244 0.000 0.747 Se
0.249 0.500 0.251 Se
0.751 0.500 0.749 Se
0.756 0.000 0.253 Se
```

---

VASP calculation (PBE) on a relaxed Na3Pm2NpSe6 crystal.

The structure in POSCAR format:
```
Na3Pm2NpSe6
1.0
3.677 -6.363 0.000
3.677 6.363 0.000
-2.447 0.000 7.001
Na Pm Np Se
3 2 1 6
Direct
0.000 0.000 0.000 Na
0.332 0.668 0.000 Na
0.668 0.332 0.000 Na
0.166 0.834 0.500 Pm
0.834 0.166 0.500 Pm
0.500 0.500 0.500 Np
0.091 0.422 0.266 Se
0.248 0.248 0.735 Se
0.422 0.091 0.266 Se
0.578 0.909 0.734 Se
0.752 0.752 0.265 Se
0.909 0.578 0.734 Se
```

---

VASP calculation (PBE) on a relaxed Na3Pm2NpTe6 crystal.

The structure in POSCAR format:
```
Na3Pm2NpTe6
1.0
3.918 -6.770 0.000
3.918 6.770 0.000
-2.597 0.000 7.549
Na Pm Np Te
3 2 1 6
Direct
0.000 0.000 0.000 Na
0.332 0.668 0.000 Na
0.668 0.332 0.000 Na
0.166 0.834 0.500 Pm
0.834 0.166 0.500 Pm
0.500 0.500 0.500 Np
0.089 0.421 0.263 Te
0.248 0.248 0.738 Te
0.421 0.089 0.263 Te
0.579 0.911 0.737 Te
0.752 0.752 0.262 Te
0.911 0.579 0.737 Te
```

---

Energy relative to the elements, uncorrected values, unit meV per atom, following the record order: -1044.1 -1028.3 -776.7 -804.8 -994.8 -623.8 -700.5 -1455.8 -1463.0 -1497.0 -1300.1 -1291.9 -1561.9 -1304.0 -1319.3 -1436.9 -1356.5 -1548.7 -1517.5 -1150.8.